(1)
Material: RbAl2Sn
Method: DFT, PBE-GGA
State: optimized geometry

Size of the total moment: 0.0 μB/cell
Total DFT energy (no corrections): -2.72 eV per atom

abc: 8.7245 8.7245 6.8793
angles: 90.00 90.00 90.00
Space group I-42d (No. 122)
Inequivalent atoms, fractional coordinates:
1 Rb 0.0000 0.0000 0.0000
2 Al 0.1772 0.2500 0.6250
3 Sn 0.0000 0.0000 0.5000


(2)
Material: RbAl2Sn8
Method: DFT, PBE-GGA
State: optimized geometry

Size of the total moment: 0.0 μB/cell
Total DFT energy (no corrections): -3.55 eV per atom

abc: 6.6962 6.6962 9.3052
angles: 90.00 90.00 90.00
Space group P4/mmm (No. 123)
Inequivalent atoms, fractional coordinates:
1 Rb 0.0000 0.0000 0.0000
2 Al 0.0000 0.5000 0.5000
3 Sn 0.2539 0.2539 0.3262


(3)
Material: Rb2Al2Sn
Method: DFT, PBE-GGA
State: optimized geometry

Size of the total moment: 0.0 μB/cell
Total DFT energy (no corrections): -2.53 eV per atom

abc: 7.3341 7.3341 6.2183
angles: 90.00 90.00 90.00
Space group P4/mbm (No. 127)
Inequivalent atoms, fractional coordinates:
1 Rb 0.1873 0.3127 0.0000
2 Al 0.1254 0.6254 0.5000
3 Sn 0.0000 0.0000 0.5000


(4)
Material: Rb2AlSnTe4
Method: DFT, PBE-GGA
State: optimized geometry

Size of the total moment: 0.0 μB/cell
Formation energy without anion corrections: -478 kJ/mol of formula units

abc: 6.9567 15.4161 26.0771
angles: 90.00 90.00 90.00
Space group Fddd (No. 70, origin choice 2)
Inequivalent atoms, fractional coordinates:
1 Rb 0.1250 0.1250 0.3096
2 Al 0.1250 0.1250 0.6250
3 Sn 0.1250 0.1250 0.1250
4 Te 0.0983 0.2744 0.8163